Here is Rb2ZrF6 after structural relaxation from OQMD via LeMat-Bulk. Energies are from PBE-GGA.

```
Rb2ZrF6
1.0
-0.378 1.504 -5.352
-5.072 -2.291 -0.286
-4.710 10.033 3.152
F Rb Zr
12 4 2
direct
0.758 0.242 0.500 F
0.674 0.674 0.630 F
0.258 0.258 0.000 F
0.174 0.826 0.870 F
0.326 0.326 0.370 F
0.826 0.174 0.870 F
0.242 0.758 0.500 F
0.174 0.826 0.130 F
0.742 0.742 0.000 F
0.826 0.174 0.130 F
0.326 0.326 0.630 F
0.674 0.674 0.370 F
0.000 0.000 0.334 Rb
0.000 0.000 0.666 Rb
0.500 0.500 0.834 Rb
0.500 0.500 0.166 Rb
0.000 0.000 0.000 Zr
0.500 0.500 0.500 Zr
```

Output
Its total energy is -103.7 eV for the cell shown. The spin magnetization comes out at 0.0 μB per formula unit.